Entry 1:
VASP calculation (GGA-PBE) on a relaxed PrNbN2O crystal.

Output
The value obtained for the magnetization is 0.0 μB per formula unit. The value obtained for the calculated total energy is -179.9 eV for the cell shown.

Lattice parameters (Å, degrees): 7.894 5.813 5.786 90.00 90.00 90.00
Space group Pmc2_1 (No. 26)
Inequivalent atoms, fractional coordinates:
Pr  0.000  0.237  0.000
Pr  0.500  0.263  0.003
Nb  0.250  0.250  0.495
N  0.198  0.003  0.277
N  0.302  0.499  0.279
O  0.000  0.349  0.542
O  0.500  0.151  0.541

=====

Entry 2:
VASP calculation (GGA-PBE) on a relaxed ZrFePdPb crystal.

Output
The value obtained for the magnetization is 1.8 μB per formula unit. As for the polymorph energy (0 for the lowest one): 0.000 eV per atom.

Lattice parameters (Å, degrees): 6.613 6.613 6.613 90.00 90.00 90.00
Space group F-43m (No. 216)
Inequivalent atoms, fractional coordinates:
Zr  0.000  0.000  0.000
Fe  0.250  0.250  0.750
Pd  0.250  0.250  0.250
Pb  0.000  0.000  0.500

=====

Entry 3:
VASP calculation (GGA-PBE) on a relaxed TmGeHO4 crystal.

Output
The value obtained for the magnetization is 0.0 μB per formula unit. As for the polymorph energy (0 for the lowest one): 0.000 eV per atom.

Lattice parameters (Å, degrees): 7.758 6.705 6.778 90.00 112.98 90.00
Space group P2_1/c (No. 14)
Inequivalent atoms, fractional coordinates:
Tm  0.203  0.142  0.097
Ge  0.242  0.605  0.124
H  0.474  0.693  0.888
O  0.105  0.681  0.549
O  0.181  0.078  0.768
O  0.279  0.048  0.434
O  0.476  0.695  0.294

=====

Question: Among the records above, which one has the highest magnetization?
Answer: ZrFePdPb